[1]
Crystalline Fe2BiN at its relaxed geometry. Source: the Alexandria database, functional PBE-GGA.

abc: 4.3353 4.3353 4.3353
angles: 60.00 60.00 60.00
Last column: nearest neighbours and their distance in Å.
Element x y z (fractional)
1 Bi 0.5000 0.5000 0.5000  8 Fe 2.65
2 N 0.0000 0.0000 0.0000  8 Fe 2.65
3 Fe 0.7500 0.7500 0.7500  4 Bi 2.65, 4 N 2.65
4 Fe 0.2500 0.2500 0.2500  4 Bi 2.65, 4 N 2.65

Computed properties:
Symmetry: Fm-3m (225)
Calculated volume (Å³ per cell): 58
DOS(E_F) (states/eV/cell): 7.6
Total energy (eV/atom): -6.03
Formation energy (no corrections) (eV per atom): 1.249
M_tot (Bohr magnetons per cell): 5.20
Relative energy among the computed polymorphs (eV/atom): 0.942

***

[2]
Crystalline FeBi3N at its relaxed geometry. Source: the Alexandria database, functional PBE-GGA.

abc: 4.8421 4.8421 4.8421
angles: 90.00 90.00 90.00
Last column: nearest neighbours and their distance in Å.
Element x y z (fractional)
1 Bi 0.0000 0.0000 0.5000  2 N 2.42
2 Bi 0.0000 0.5000 0.0000  2 N 2.42
3 Bi 0.5000 0.0000 0.0000  2 N 2.42
4 Fe 0.5000 0.5000 0.5000  12 Bi 3.42
5 N 0.0000 0.0000 0.0000  6 Bi 2.42

Computed properties:
Symmetry: Pm-3m (221)
Calculated volume (Å³ per cell): 114
DOS(E_F) (states/eV/cell): 15.2
Total energy (eV/atom): -4.61
Formation energy (no corrections) (eV per atom): 1.076
M_tot (Bohr magnetons per cell): 0.01
Relative energy among the computed polymorphs (eV/atom): 0.000

***

[3]
Crystalline FeBiN3 at its relaxed geometry. Source: the Alexandria database, functional PBE-GGA.

abc: 3.7845 3.7845 3.7845
angles: 90.00 90.00 90.00
Last column: nearest neighbours and their distance in Å.
Element x y z (fractional)
1 N 0.0000 0.0000 0.5000  2 Fe 1.89
2 N 0.0000 0.5000 0.0000  2 Fe 1.89
3 N 0.5000 0.0000 0.0000  2 Fe 1.89
4 Fe 0.0000 0.0000 0.0000  6 N 1.89
5 Bi 0.5000 0.5000 0.5000  12 N 2.68

Computed properties:
Symmetry: Pm-3m (221)
Calculated volume (Å³ per cell): 54
DOS(E_F) (states/eV/cell): 5.2
Total energy (eV/atom): -6.41
Formation energy (no corrections) (eV per atom): 1.052
M_tot (Bohr magnetons per cell): 0.00

***

[4]
Crystalline FeNi2BiN at its relaxed geometry. Source: the Alexandria database, functional PBE-GGA.

abc: 4.7646 4.3438 4.7646
angles: 90.00 90.00 90.00
Last column: nearest neighbours and their distance in Å.
Element x y z (fractional)
1 Ni 0.0000 0.0000 0.5000  2 Bi 2.38
2 Ni 0.5000 0.0000 0.0000  2 Bi 2.38
3 Bi 0.0000 0.0000 0.0000  2 N 2.17, 4 Ni 2.38
4 Fe 0.5000 0.5000 0.5000  8 Ni 3.22, 4 N 3.37
5 N 0.0000 0.5000 0.0000  2 Bi 2.17

Computed properties:
Symmetry: P4/mmm (123)
Calculated volume (Å³ per cell): 99
DOS(E_F) (states/eV/cell): 8.8
Total energy (eV/atom): -4.57
Formation energy (no corrections) (eV per atom): 1.880
M_tot (Bohr magnetons per cell): 3.39

***

Q: Which formula does entry 2 have?
A: FeBi3N